! PBE with a Hubbard U BaSrFe4O12, optimized geometry; values from VASP
&SYSTEM
  ibrav = 0, nat = 18, ntyp = 4
/
ATOMIC_SPECIES
Sr 87.62 Sr.upf
O 16.00 O.upf
Fe 55.84 Fe.upf
Ba 137.33 Ba.upf
CELL_PARAMETERS angstrom
5.491 0.000 0.000
0.000 5.491 0.000
0.000 0.000 7.794
ATOMIC_POSITIONS crystal
Sr 0.000 0.000 0.500
O 0.754 0.754 0.744
O 0.754 0.246 0.744
O 0.500 0.000 0.000
O 0.246 0.754 0.256
O 0.246 0.246 0.256
O 0.000 0.500 0.000
O 0.754 0.246 0.256
O 0.000 0.500 0.500
O 0.500 0.000 0.500
O 0.246 0.754 0.744
O 0.246 0.246 0.744
O 0.754 0.754 0.256
Fe 0.000 0.500 0.252
Fe 0.500 0.000 0.252
Fe 0.500 0.000 0.748
Fe 0.000 0.500 0.748
Ba 0.500 0.500 0.000
! Total DFT energy (no corrections) (eV per cell): -105.8
! N(E_F) (states/eV per cell): 9.6